[1]
Compound: Cd4GeSe6
Source: the Alexandria database
Functional: meta-GGA SCAN
Structure: single point on PBEsol structure

The structure in CIF format:
```
data_Cd4GeSe6
_cell_length_a 7.391
_cell_length_b 7.391
_cell_length_c 12.812
_cell_angle_alpha 107.03
_cell_angle_beta 107.03
_cell_angle_gamma 60.09
_space_group_name_H-M_alt 'P 1'
_space_group_IT_number 1
loop_
_space_group_symop_operation_xyz
'x,y,z'
loop_
_atom_site_label
_atom_site_fract_x
_atom_site_fract_y
_atom_site_fract_z
Cd1 0.077 0.923 0.500
Cd2 0.079 0.296 0.808
Cd3 0.171 0.568 0.159
Cd4 0.296 0.079 0.308
Cd5 0.553 0.767 0.993
Cd6 0.568 0.171 0.659
Cd7 0.767 0.553 0.493
Cd8 0.923 0.077 0.000
Ge1 0.167 0.705 0.745
Ge2 0.705 0.167 0.245
Se1 0.144 0.569 0.554
Se2 0.282 0.828 0.114
Se3 0.373 0.885 0.793
Se4 0.383 0.409 0.835
Se5 0.409 0.383 0.335
Se6 0.432 0.928 0.494
Se7 0.569 0.144 0.054
Se8 0.828 0.282 0.614
Se9 0.834 0.875 0.796
Se10 0.875 0.834 0.296
Se11 0.885 0.373 0.293
Se12 0.928 0.432 0.994
```

Values from the calculation:
ΔE_f (raw) = -0.578 eV/atom
SG = Cc

[2]
Compound: Zn2CdGeSe
Source: the Alexandria database
Functional: meta-GGA SCAN
Structure: single point on PBEsol structure

The structure in CIF format:
```
data_Zn2CdGeSe
_cell_length_a 4.626
_cell_length_b 4.626
_cell_length_c 5.170
_cell_angle_alpha 90.00
_cell_angle_beta 90.00
_cell_angle_gamma 90.00
_space_group_name_H-M_alt 'P 1'
_space_group_IT_number 1
loop_
_space_group_symop_operation_xyz
'x,y,z'
loop_
_atom_site_label
_atom_site_fract_x
_atom_site_fract_y
_atom_site_fract_z
Zn1 0.000 0.500 0.000
Zn2 0.500 0.000 0.000
Cd1 0.000 0.000 0.500
Ge1 0.000 0.000 0.000
Se1 0.500 0.500 0.500
```

Values from the calculation:
ΔE_f (raw) = 0.206 eV/atom
SG = P4/mmm